Entry from Alexandria: Cs2NaCr3F12 after structural relaxation (PBE+U).

VASP energy: -98.98 eV per cell
magnetic moment: 9.00 μB per cell
space-group type: R-3m (166)
D(E_F): 0.00 states/eV per atom

Geometry as extended XYZ:
```
18
Lattice="3.7380 2.1581 6.2672 -3.7380 2.1581 6.2672 0.0000 -4.3162 6.2672" Properties=species:S:1:pos:R:3 pbc="T T T"
Cs 0.0000 0.0000 2.3577
Cs 0.0000 0.0000 16.4440
Na 0.0000 0.0000 9.4009
Cr -1.8690 -1.0791 6.2672
Cr -1.8690 1.0791 12.5345
Cr 0.0000 2.1581 6.2672
F -1.7221 -0.9943 8.1689
F 0.0000 -1.6683 6.1184
F -1.4448 0.8341 6.1184
F 0.0000 -1.9885 10.6328
F -1.7221 0.9943 10.6328
F -1.4448 -0.8341 12.6833
F 1.4448 0.8341 6.1184
F 1.7221 -0.9943 8.1689
F 0.0000 1.9885 8.1689
F 1.4448 -0.8341 12.6833
F 0.0000 1.6683 12.6833
F 1.7221 0.9943 10.6328
```